Record 1
This record from Alexandria describes crystalline DyHo2Tm5Sc at its relaxed geometry. The functional is PBE.

The density of states at the Fermi level is 57.7 states/eV/cell. The value obtained for the energy is -4.5457 eV/atom.

It has space group Cmc2_1 (No. 36), with a = 5.471 Å, b = 19.592 Å, c = 10.257 Å, α = 90.00°, β = 90.00° and γ = 90.00°. The inequivalent atoms are Dy at (0.000, 0.089, 0.000), Ho at (0.000, 0.386, 0.281), Ho at (0.000, 0.389, 0.859), Tm at (0.000, 0.019, 0.284), Tm at (0.000, 0.121, 0.566), Tm at (0.000, 0.200, 0.250), Tm at (0.000, 0.224, 0.864), Tm at (0.000, 0.482, 0.564) and Sc at (0.000, 0.304, 0.559).


Record 2
This record from Alexandria describes crystalline BaNiRu2 at its relaxed geometry. The functional is PBE.

The density of states at the Fermi level is 13.4 states/eV/cell. The value obtained for the energy is -5.6296 eV/atom.

It has space group Imm2 (No. 44), with a = 3.392 Å, b = 5.481 Å, c = 9.097 Å, α = 90.00°, β = 90.00° and γ = 90.00°. The inequivalent atoms are Ba at (0.000, 0.000, 0.000), Ni at (0.000, 0.500, 0.804), Ru at (0.000, 0.000, 0.495) and Ru at (0.000, 0.500, 0.190).


no.,calculated formation energy (kcal/mol of atoms)
1,3.934
2,21.547